*1*
! BiWI2O GGA+U relaxed; values from VASP
! SG: No. 123
! Total moment (μB per formula unit): 2.82
&SYSTEM
  ibrav = 0, nat = 5, ntyp = 4
/
ATOMIC_SPECIES
I 126.90 I.upf
O 16.00 O.upf
Bi 208.98 Bi.upf
W 183.84 W.upf
ATOMIC_POSITIONS crystal
I 0.000 0.500 0.000
I 0.500 0.000 0.000
O 0.000 0.000 0.500
Bi 0.500 0.500 0.500
W 0.000 0.000 0.000
CELL_PARAMETERS angstrom
6.091 0.000 0.000
0.000 6.091 0.000
0.000 0.000 3.876

*2*
! BiWI2O GGA+U relaxed; values from VASP
! SG: No. 123
! Total moment (μB per formula unit): 4.97
&SYSTEM
  ibrav = 0, nat = 5, ntyp = 4
/
ATOMIC_SPECIES
I 126.90 I.upf
O 16.00 O.upf
Bi 208.98 Bi.upf
W 183.84 W.upf
ATOMIC_POSITIONS crystal
I 0.000 0.500 0.000
I 0.500 0.000 0.000
O 0.000 0.000 0.500
Bi 0.000 0.000 0.000
W 0.500 0.500 0.500
CELL_PARAMETERS angstrom
6.349 0.000 0.000
0.000 6.349 0.000
0.000 0.000 4.344

It turns out *1* is the most stable, with the second structure 55.3 kJ/mol of atoms higher.